A plane-wave DFT calculation with PBE was carried out for crystalline KAl2Re at its relaxed geometry.

The structure in CIF format:
```
data_KAl2Re
_chemical_formula_sum 'K1 Al2 Re1'
_space_group_name_H-M_alt 'P m m m'
_space_group_IT_number 47
_cell_length_a 2.744
_cell_length_b 5.041
_cell_length_c 5.687
_cell_angle_alpha 90.00
_cell_angle_beta 90.00
_cell_angle_gamma 90.00
loop_
_space_group_symop_operation_xyz
'x,y,z'
'-x,-y,-z'
'-x,-y,z'
'x,y,-z'
'x,-y,-z'
'-x,y,z'
'-x,y,-z'
'x,-y,z'
loop_
_atom_site_label
_atom_site_fract_x
_atom_site_fract_y
_atom_site_fract_z
K1 0.000 0.000 0.000
Al1 0.000 0.500 0.500
Al2 0.500 0.500 0.000
Re1 0.500 0.000 0.500
```

Values from the calculation:
The formation energy is 1.046 eV per atom. The value obtained for the magnetization is 0.0 μB per formula unit. Its density of states at the Fermi level is 2.32 states/eV per cell.

---

A plane-wave DFT calculation with PBE was carried out for crystalline TiZnAu4 at its relaxed geometry.

The structure in CIF format:
```
data_TiZnAu4
_chemical_formula_sum 'Ti4 Zn4 Au16'
_space_group_name_H-M_alt 'I 41/a m d'
_space_group_IT_number 141
_cell_length_a 6.065
_cell_length_b 6.065
_cell_length_c 12.844
_cell_angle_alpha 90.00
_cell_angle_beta 90.00
_cell_angle_gamma 90.00
loop_
_space_group_symop_operation_xyz
'x,y,z'
'-x,-y,-z'
'-y+1/4,x+3/4,z+1/4'
'y+1/4,-x+3/4,-z+1/4'
'-x+1/2,-y,z+1/2'
'x+1/2,y,-z+1/2'
'y+1/4,-x+1/4,z+3/4'
'-y+1/4,x+1/4,-z+3/4'
'x,-y,-z'
'-x,y,z'
'-y+1/4,-x+1/4,-z+3/4'
'y+1/4,x+1/4,z+3/4'
'-x+1/2,y,-z+1/2'
'x+1/2,-y,z+1/2'
'y+1/4,x+3/4,-z+1/4'
'-y+1/4,-x+3/4,z+1/4'
'x+1/2,y+1/2,z+1/2'
'-x+1/2,-y+1/2,-z+1/2'
'-y+3/4,x+1/4,z+3/4'
'y+3/4,-x+1/4,-z+3/4'
'-x,-y+1/2,z'
'x,y+1/2,-z'
'y+3/4,-x+3/4,z+1/4'
'-y+3/4,x+3/4,-z+1/4'
'x+1/2,-y+1/2,-z+1/2'
'-x+1/2,y+1/2,z+1/2'
'-y+3/4,-x+3/4,-z+1/4'
'y+3/4,x+3/4,z+1/4'
'-x,y+1/2,-z'
'x,-y+1/2,z'
'y+3/4,x+1/4,-z+3/4'
'-y+3/4,-x+1/4,z+3/4'
loop_
_atom_site_label
_atom_site_fract_x
_atom_site_fract_y
_atom_site_fract_z
Ti1 0.000 0.250 0.375
Zn1 0.000 0.250 0.875
Au1 0.246 0.000 0.000
```

Values from the calculation:
The formation energy is -0.074 eV per atom. The value obtained for the magnetization is 0.0 μB per formula unit. Its density of states at the Fermi level is 17.94 states/eV per cell.

---

A plane-wave DFT calculation with PBE was carried out for crystalline Tl3Ge2BiO8 at its relaxed geometry.

The structure in CIF format:
```
data_Tl3Ge2BiO8
_chemical_formula_sum 'Tl3 Ge2 Bi1 O8'
_space_group_name_H-M_alt 'P -3 m 1'
_space_group_IT_number 164
_space_group_name_Hall '-P 3 2"'
_cell_length_a 5.8452
_cell_length_b 5.8452
_cell_length_c 7.2901
_cell_angle_alpha 90.00
_cell_angle_beta 90.00
_cell_angle_gamma 120.00
loop_
_atom_site_label
_atom_site_fract_x
_atom_site_fract_y
_atom_site_fract_z
Tl1 0.0000 0.0000 0.0000
Tl2 0.3333 0.6667 0.6512
Ge1 0.3333 0.6667 0.1831
Bi1 0.0000 0.0000 0.5000
O1 0.1621 0.3241 0.2585
O2 0.3333 0.6667 0.9504
```

Values from the calculation:
The value obtained for the magnetization is 0.0 μB per formula unit. For the raw formation energy, the calculation gives -14.68 eV per formula unit.

---

A plane-wave DFT calculation with PBE was carried out for crystalline NpNbRe at its relaxed geometry.

The structure in CIF format:
```
data_NpNbRe
_chemical_formula_sum 'Np2 Nb2 Re2'
_space_group_name_H-M_alt 'I 4 m m'
_space_group_IT_number 107
_space_group_name_Hall 'I 4 -2'
_cell_length_a 3.191
_cell_length_b 3.191
_cell_length_c 11.119
_cell_angle_alpha 90.00
_cell_angle_beta 90.00
_cell_angle_gamma 90.00
loop_
_atom_site_label
_atom_site_fract_x
_atom_site_fract_y
_atom_site_fract_z
Np1 0.000 0.000 0.000
Nb1 0.000 0.000 0.691
Re1 0.000 0.000 0.328
```

Values from the calculation:
The formation energy is 0.233 eV per atom. The value obtained for the magnetization is 3.4 μB per formula unit. Its density of states at the Fermi level is 10.15 states/eV per cell.

---

A plane-wave DFT calculation with PBE was carried out for crystalline K3SiI at its relaxed geometry.

The structure in CIF format:
```
data_K3SiI
_chemical_formula_sum 'K3 Si1 I1'
_space_group_name_H-M_alt 'P m -3 m'
_space_group_IT_number 221
_space_group_name_Hall '-P 4 2 3'
_cell_length_a 6.415
_cell_length_b 6.415
_cell_length_c 6.415
_cell_angle_alpha 90.00
_cell_angle_beta 90.00
_cell_angle_gamma 90.00
loop_
_atom_site_label
_atom_site_fract_x
_atom_site_fract_y
_atom_site_fract_z
K1 0.000 0.000 0.500
Si1 0.000 0.000 0.000
I1 0.500 0.500 0.500
```

Values from the calculation:
The value obtained for the magnetization is 2.0 μB per formula unit. Its density of states at the Fermi level is 3.67 states/eV per cell. For the raw formation energy, the calculation gives -0.80 eV per formula unit.

---

A plane-wave DFT calculation with PBE was carried out for crystalline SrZr2Au at its relaxed geometry.

The structure in CIF format:
```
data_SrZr2Au
_chemical_formula_sum 'Sr2 Zr4 Au2'
_space_group_name_H-M_alt 'C m m m'
_space_group_IT_number 65
_space_group_name_Hall '-C 2 2'
_cell_length_a 5.909
_cell_length_b 10.484
_cell_length_c 3.190
_cell_angle_alpha 90.00
_cell_angle_beta 90.00
_cell_angle_gamma 90.00
loop_
_atom_site_label
_atom_site_fract_x
_atom_site_fract_y
_atom_site_fract_z
Sr1 0.000 0.000 0.000
Zr1 0.250 0.250 0.500
Au1 0.000 0.500 0.000
```

Values from the calculation:
The formation energy is 0.325 eV per atom. The value obtained for the magnetization is 0.0 μB per formula unit. Its density of states at the Fermi level is 11.27 states/eV per cell.